(1)
Entry from Alexandria via LeMat-Bulk: YCoTe2 after structural relaxation (PBE-GGA). Values from VASP.

The structure in Quantum ESPRESSO input format:
```
&SYSTEM
  ibrav = 0, nat = 4, ntyp = 3
/
ATOMIC_SPECIES
Y 88.91 Y.upf
Te 127.60 Te.upf
Co 58.93 Co.upf
ATOMIC_POSITIONS angstrom
Y 0.000 0.000 12.493
Te 0.000 0.000 22.502
Te 0.000 0.000 2.483
Co 0.000 0.000 0.000
CELL_PARAMETERS angstrom
2.595 0.000 8.328
-1.298 2.248 8.328
-1.298 -2.248 8.328
```

Summary:
Energy relative to the elements, uncorrected ... -0.336 eV per atom
Raw total energy ... -5.299 eV/atom
Symmetry ... R-3m

***

(2)
Entry from Alexandria via LeMat-Bulk: Y2CoTe after structural relaxation (PBE-GGA). Values from VASP.

The structure in Quantum ESPRESSO input format:
```
&SYSTEM
  ibrav = 0, nat = 8, ntyp = 3
/
ATOMIC_SPECIES
Y 88.91 Y.upf
Te 127.60 Te.upf
Co 58.93 Co.upf
ATOMIC_POSITIONS angstrom
Y 5.327 1.913 0.859
Y 2.323 5.738 0.859
Y 5.738 6.148 2.576
Y 9.563 9.152 2.576
Te 0.000 0.000 0.000
Te 7.650 3.825 1.717
Co 3.825 3.825 0.000
Co 3.825 7.650 1.717
CELL_PARAMETERS angstrom
7.650 0.000 0.000
0.000 7.650 0.000
3.825 3.825 3.435
```

Summary:
Energy relative to the elements, uncorrected ... -0.307 eV per atom
Raw total energy ... -6.101 eV/atom
Symmetry ... I-42d

***

(3)
Entry from Alexandria via LeMat-Bulk: YCo2Te after structural relaxation (PBE-GGA). Values from VASP.

The structure in Quantum ESPRESSO input format:
```
&SYSTEM
  ibrav = 0, nat = 4, ntyp = 3
/
ATOMIC_SPECIES
Co 58.93 Co.upf
Te 127.60 Te.upf
Y 88.91 Y.upf
ATOMIC_POSITIONS angstrom
Co 0.000 0.000 0.390
Co 1.671 1.711 1.338
Te 0.000 0.000 2.949
Y 1.671 1.711 5.206
CELL_PARAMETERS angstrom
3.380 0.043 0.000
-0.039 3.380 0.000
0.000 0.000 6.588
```

Summary:
Energy relative to the elements, uncorrected ... 0.027 eV per atom
Raw total energy ... -5.928 eV/atom
Symmetry ... P4mm

***

(4)
Entry from Alexandria via LeMat-Bulk: Y2CoTe after structural relaxation (PBE-GGA). Values from VASP.

The structure in Quantum ESPRESSO input format:
```
&SYSTEM
  ibrav = 0, nat = 4, ntyp = 3
/
ATOMIC_SPECIES
Co 58.93 Co.upf
Te 127.60 Te.upf
Y 88.91 Y.upf
ATOMIC_POSITIONS angstrom
Co 2.480 -3.103 1.225
Te 1.501 -5.686 1.438
Y 4.510 -5.642 2.228
Y -0.326 -3.400 0.535
CELL_PARAMETERS angstrom
-2.485 -1.073 2.313
-1.152 -1.993 -2.716
4.720 -5.906 2.332
```

Summary:
Energy relative to the elements, uncorrected ... -0.169 eV per atom
Raw total energy ... -5.963 eV/atom
Symmetry ... Cmm2